w.
! Ni7Ge PBE-GGA optimized geometry; values from VASP
! **Crystal system**: orthorhombic
! **Magnetic moment**: 0.442 μB per atom
&SYSTEM
  ibrav = 0, nat = 16, ntyp = 2
/
ATOMIC_SPECIES
Ni 58.69 Ni.upf
Ge 72.64 Ge.upf
CELL_PARAMETERS angstrom
2.5214 0.0000 0.0000
0.0000 3.5226 0.0000
0.0000 0.0000 33.5273
ATOMIC_POSITIONS angstrom
Ni 0.6303 0.8807 0.6186
Ni 0.6303 0.8807 3.0904
Ni 0.6303 0.8807 5.5678
Ni 0.6303 0.8807 8.0942
Ni 0.6303 0.8807 26.7376
Ni 0.6303 0.8807 29.2073
Ni 0.6303 0.8807 31.6766
Ni 1.8910 2.6420 1.8507
Ni 1.8910 2.6420 4.3200
Ni 1.8910 2.6420 6.7897
Ni 1.8910 2.6420 25.4331
Ni 1.8910 2.6420 27.9595
Ni 1.8910 2.6420 30.4369
Ni 1.8910 2.6420 32.9086
Ge 0.6303 0.8807 24.2305
Ge 1.8910 2.6420 9.2968



x.
! Ni7Ge PBE-GGA optimized geometry; values from VASP
! **Crystal system**: tetragonal
! **Magnetic moment**: 0.455 μB per atom
&SYSTEM
  ibrav = 0, nat = 16, ntyp = 2
/
ATOMIC_SPECIES
Ni 58.69 Ni.upf
Ge 72.64 Ge.upf
CELL_PARAMETERS angstrom
2.5461 0.0000 0.0000
0.0000 2.5461 0.0000
0.0000 0.0000 39.8796
ATOMIC_POSITIONS angstrom
Ni 0.6365 0.6365 0.8437
Ni 0.6365 0.6365 4.2188
Ni 0.6365 0.6365 7.5904
Ni 0.6365 0.6365 11.0223
Ni 0.6365 0.6365 30.5887
Ni 0.6365 0.6365 33.9745
Ni 0.6365 0.6365 37.3478
Ni 1.9096 1.9096 2.5319
Ni 1.9096 1.9096 5.9051
Ni 1.9096 1.9096 9.2909
Ni 1.9096 1.9096 28.8573
Ni 1.9096 1.9096 32.2892
Ni 1.9096 1.9096 35.6608
Ni 1.9096 1.9096 39.0360
Ge 0.6365 0.6365 27.0211
Ge 1.9096 1.9096 12.8585



w wins, 31 meV per atom ahead of the next structure.